Compound: TcPbNF2
Source: the Alexandria database
Functional: GGA-PBE
Structure: relaxed Values from VASP.

Structure (Quantum ESPRESSO input):
```
&SYSTEM
  ibrav = 0, nat = 5, ntyp = 4
/
ATOMIC_SPECIES
Tc 98.00 Tc.upf
Pb 207.20 Pb.upf
N 14.01 N.upf
F 19.00 F.upf
CELL_PARAMETERS angstrom
4.3807 0.0000 0.0000
0.0000 4.3807 0.0000
0.0000 0.0000 3.8382
ATOMIC_POSITIONS crystal
Tc 0.0000 0.0000 0.0000
Pb 0.5000 0.5000 0.5000
N 0.0000 0.0000 0.5000
F 0.0000 0.5000 0.0000
F 0.5000 0.0000 0.0000
```

Excess energy over the best structure of this formula in the dataset: 0.000 eV/atom
E: -5.960 eV/atom
Symmetry: P4/mmm
Total magnetic moment: 0.00 μB per formula unit
Formation energy from raw total energies: -731 meV per atom

***

Compound: TcPbNF2
Source: the Alexandria database
Functional: GGA-PBE
Structure: relaxed Values from VASP.

Structure (Quantum ESPRESSO input):
```
&SYSTEM
  ibrav = 0, nat = 5, ntyp = 4
/
ATOMIC_SPECIES
Tc 98.00 Tc.upf
Pb 207.20 Pb.upf
N 14.01 N.upf
F 19.00 F.upf
CELL_PARAMETERS angstrom
4.5240 0.0000 0.0000
0.0000 4.5240 0.0000
0.0000 0.0000 4.4570
ATOMIC_POSITIONS crystal
Tc 0.0000 0.0000 0.0000
Pb 0.5000 0.5000 0.5000
N 0.5000 0.5000 0.0000
F 0.0000 0.5000 0.5000
F 0.5000 0.0000 0.5000
```

Excess energy over the best structure of this formula in the dataset: 1.005 eV/atom
E: -4.955 eV/atom
Symmetry: P4/mmm
Total magnetic moment: 4.89 μB per formula unit
Formation energy from raw total energies: 273 meV per atom

***

Compound: TePbN2F
Source: the Alexandria database
Functional: GGA-PBE
Structure: relaxed Values from VASP.

Structure (Quantum ESPRESSO input):
```
&SYSTEM
  ibrav = 0, nat = 5, ntyp = 4
/
ATOMIC_SPECIES
Te 127.60 Te.upf
Pb 207.20 Pb.upf
N 14.01 N.upf
F 19.00 F.upf
CELL_PARAMETERS angstrom
4.8459 0.0000 0.0000
0.0000 4.8459 0.0000
0.0000 0.0000 4.2576
ATOMIC_POSITIONS crystal
Te 0.0000 0.0000 0.0000
Pb 0.5000 0.5000 0.0000
N 0.0000 0.5000 0.5000
N 0.5000 0.0000 0.5000
F 0.0000 0.0000 0.5000
```

Excess energy over the best structure of this formula in the dataset: 0.529 eV/atom
E: -3.602 eV/atom
Symmetry: P4/mmm
Total magnetic moment: 4.88 μB per formula unit
Formation energy from raw total energies: 1472 meV per atom

***

Compound: TePbN2F
Source: the Alexandria database
Functional: GGA-PBE
Structure: relaxed Values from VASP.

Structure (Quantum ESPRESSO input):
```
&SYSTEM
  ibrav = 0, nat = 5, ntyp = 4
/
ATOMIC_SPECIES
Te 127.60 Te.upf
Pb 207.20 Pb.upf
N 14.01 N.upf
F 19.00 F.upf
CELL_PARAMETERS angstrom
4.3088 0.0000 0.0000
0.0000 4.3088 0.0000
0.0000 0.0000 6.4085
ATOMIC_POSITIONS crystal
Te 0.0000 0.0000 0.0000
Pb 0.0000 0.0000 0.5000
N 0.0000 0.5000 0.5000
N 0.5000 0.0000 0.5000
F 0.5000 0.5000 0.0000
```

Excess energy over the best structure of this formula in the dataset: 0.555 eV/atom
E: -3.576 eV/atom
Symmetry: P4/mmm
Total magnetic moment: 3.24 μB per formula unit
Formation energy from raw total energies: 1498 meV per atom